Ga2Si2Ni PBE-GGA relaxed; energy relative to the elements, uncorrected = 0.0285 eV per atom; magnetic moment = 0.000 μB/atom; final energy = -4.51 eV per atom
1.0
5.945 0.000 0.000
0.000 5.945 0.000
0.000 0.000 4.515
Ga Si Ni
4 4 2
Direct
0.175 0.325 0.000
0.325 0.825 0.000
0.675 0.175 0.000
0.825 0.675 0.000
0.144 0.644 0.500
0.356 0.144 0.500
0.644 0.856 0.500
0.856 0.356 0.500
0.000 0.000 0.500
0.500 0.500 0.500